Entry 1:
DFT (PBE) results for crystalline RbTc2RhBr at its relaxed geometry.

Structure (POSCAR):
```
RbTc2RhBr
1.0
-4.8404 2.3346 -1.0756
-2.2280 -3.3399 2.7769
0.5921 3.2443 4.3772
Rb Rh Tc Br
1 1 2 1
direct
0.0000 0.0000 0.0000
0.0000 0.5000 0.0000
0.0000 0.0000 0.5000
0.5000 0.0000 0.0000
0.5000 0.5000 0.5000
```

Output
E ... -16.44 eV/f.u.
Calculated density ... 5.26 g/cm³
Magnetic moment ... 8.62 μB per cell
Formation energy without anion corrections ... 2857 meV/atom

=====

Entry 2:
DFT (PBE) results for crystalline RbTc2RhBr at its relaxed geometry.

Structure (POSCAR):
```
RbTc2RhBr
1.0
-4.1757 -2.3471 0.0519
0.7510 -1.2026 6.0321
-2.2747 4.0712 1.0949
Tc Rh Br Rb
2 1 1 1
direct
0.5000 0.0000 0.0000
0.0000 0.0000 0.5000
0.0000 0.0000 0.0000
0.0000 0.5000 0.0000
0.5000 0.5000 0.5000
```

Output
E ... -24.85 eV/f.u.
Calculated density ... 5.42 g/cm³
Magnetic moment ... 4.97 μB per cell
Formation energy without anion corrections ... 1174 meV/atom